# CsV2SnO (GGA+U, relaxed)
# SG: P4/mmm
# Final energy in eV/atom: -3.384
data_CsV2SnO
_space_group_name_H-M_alt 'P 1'
_space_group_IT_number 1
_cell_length_a 5.8551
_cell_length_b 4.2524
_cell_length_c 5.8551
_cell_angle_alpha 90.00
_cell_angle_beta 90.00
_cell_angle_gamma 90.00
loop_
_space_group_symop_operation_xyz
'x,y,z'
loop_
_atom_site_label
_atom_site_type_symbol
_atom_site_fract_x
_atom_site_fract_y
_atom_site_fract_z
Cs1 Cs 0.0000 0.0000 0.0000
O1 O 0.0000 0.5000 0.0000
Sn1 Sn 0.5000 0.5000 0.5000
V1 V 0.0000 0.0000 0.5000
V2 V 0.5000 0.0000 0.0000

***

# CsSnWO6 (GGA+U, relaxed)
# SG: C2
# Final energy in eV/atom: -6.282
data_CsSnWO6
_space_group_name_H-M_alt 'P 1'
_space_group_IT_number 1
_cell_length_a 5.6031
_cell_length_b 5.6030
_cell_length_c 6.5137
_cell_angle_alpha 89.90
_cell_angle_beta 90.14
_cell_angle_gamma 59.49
loop_
_space_group_symop_operation_xyz
'x,y,z'
loop_
_atom_site_label
_atom_site_type_symbol
_atom_site_fract_x
_atom_site_fract_y
_atom_site_fract_z
O1 O 0.3948 0.5908 0.3509
O2 O 0.3996 0.0186 0.6802
O3 O 0.5768 0.0204 0.3215
O4 O 0.0204 0.5772 0.6784
O5 O 0.0184 0.3995 0.3199
O6 O 0.5910 0.3949 0.6491
W1 W 0.3216 0.3216 0.5000
Sn1 Sn 0.6778 0.6779 0.5000
Cs1 Cs 0.9993 0.9992 0.0000